Record 1
Crystalline NiBAu3 at its relaxed geometry, computed with PBE-GGA.

Computed properties:
formation energy from the elements	2.40	eV/f.u.
distance to the lowest polymorph of the same formula	0	meV per atom
space group	No. 221

Geometry as POSCAR:
```
NiBAu3
1.0
4.307 0.000 0.000
0.000 4.307 0.000
0.000 0.000 4.307
Ni B Au
1 1 3
Cartesian
0.000 0.000 0.000
2.154 2.154 2.154
0.000 2.154 2.154
2.154 0.000 2.154
2.154 2.154 0.000
```

Record 2
Crystalline Ni3BAu at its relaxed geometry, computed with PBE-GGA.

Computed properties:
formation energy from the elements	-0.03	eV/f.u.
distance to the lowest polymorph of the same formula	0	meV per atom
space group	No. 221

Geometry as POSCAR:
```
Ni3BAu
1.0
3.886 0.000 0.000
0.000 3.886 0.000
0.000 0.000 3.886
Ni B Au
3 1 1
Cartesian
0.000 0.000 1.943
0.000 1.943 0.000
1.943 0.000 0.000
0.000 0.000 0.000
1.943 1.943 1.943
```

Record 3
Crystalline Ni12B5Au at its relaxed geometry, computed with PBE-GGA.

Computed properties:
formation energy from the elements	-3.07	eV/f.u.
space group	No. 71

Geometry as POSCAR:
```
Ni12B5Au
1.0
-3.390 3.405 3.829
3.390 -3.405 3.829
3.390 3.405 -3.829
Ni B Au
12 5 1
Cartesian
3.390 2.135 -2.190
1.902 1.215 0.000
4.878 1.215 0.000
4.634 0.000 2.421
2.146 0.000 2.421
0.000 1.270 1.640
3.390 2.135 2.190
-1.244 3.405 1.409
1.244 3.405 1.409
-1.488 2.189 3.829
1.488 2.189 3.829
0.000 1.270 6.019
0.000 0.000 0.000
3.390 0.000 0.881
0.000 2.435 0.000
0.000 4.374 0.000
0.000 3.405 2.948
0.000 0.000 3.829
```

Record 4
Crystalline Ni3BAu at its relaxed geometry, computed with PBE-GGA.

Computed properties:
formation energy from the elements	10.53	eV/f.u.
distance to the lowest polymorph of the same formula	2112	meV per atom
space group	No. 221

Geometry as POSCAR:
```
Ni3BAu
1.0
4.671 0.000 0.000
0.000 4.671 0.000
0.000 0.000 4.671
Ni B Au
3 1 1
Cartesian
0.000 0.000 2.335
0.000 2.335 0.000
2.335 0.000 0.000
2.335 2.335 2.335
0.000 0.000 0.000
```

Record 5
Crystalline NiB3Au at its relaxed geometry, computed with PBE-GGA.

Computed properties:
formation energy from the elements	9.78	eV/f.u.
distance to the lowest polymorph of the same formula	847	meV per atom
space group	No. 221

Geometry as POSCAR:
```
NiB3Au
1.0
4.132 0.000 0.000
0.000 4.132 0.000
0.000 0.000 4.132
Ni B Au
1 3 1
Cartesian
0.000 0.000 0.000
0.000 2.066 2.066
2.066 0.000 2.066
2.066 2.066 0.000
2.066 2.066 2.066
```

Record 6
Crystalline NiB3Au at its relaxed geometry, computed with PBE-GGA.

Computed properties:
formation energy from the elements	5.55	eV/f.u.
distance to the lowest polymorph of the same formula	0	meV per atom
space group	No. 221

Geometry as POSCAR:
```
NiB3Au
1.0
3.854 0.000 0.000
0.000 3.854 0.000
0.000 0.000 3.854
Ni B Au
1 3 1
Cartesian
0.000 0.000 0.000
0.000 0.000 1.927
0.000 1.927 0.000
1.927 0.000 0.000
1.927 1.927 1.927
```

Record 7
Crystalline NiBAu3 at its relaxed geometry, computed with PBE-GGA.

Computed properties:
formation energy from the elements	7.61	eV/f.u.
distance to the lowest polymorph of the same formula	1042	meV per atom
space group	No. 221

Geometry as POSCAR:
```
NiBAu3
1.0
4.768 0.000 0.000
0.000 4.768 0.000
0.000 0.000 4.768
Ni B Au
1 1 3
Cartesian
0.000 0.000 0.000
2.384 2.384 2.384
0.000 0.000 2.384
0.000 2.384 0.000
2.384 0.000 0.000
```

Record 8
Crystalline NiB2Au at its relaxed geometry, computed with PBE-GGA.

Computed properties:
formation energy from the elements	3.54	eV/f.u.
distance to the lowest polymorph of the same formula	180	meV per atom
space group	No. 225

Geometry as POSCAR:
```
NiB2Au
1.0
5.474 0.000 0.000
0.000 5.474 0.000
0.000 0.000 5.474
Ni B Au
4 8 4
Cartesian
0.000 0.000 0.000
0.000 2.737 2.737
2.737 0.000 2.737
2.737 2.737 0.000
1.369 1.369 1.369
1.369 1.369 4.106
1.369 4.106 1.369
1.369 4.106 4.106
4.106 1.369 1.369
4.106 1.369 4.106
4.106 4.106 1.369
4.106 4.106 4.106
0.000 0.000 2.737
0.000 2.737 0.000
2.737 0.000 0.000
2.737 2.737 2.737
```

Record 9
Crystalline NiBPt2Au at its relaxed geometry, computed with PBE-GGA.

Computed properties:
formation energy from the elements	-0.20	eV/f.u.
space group	No. 123

Geometry as POSCAR:
```
NiBPt2Au
1.0
4.189 0.000 0.000
0.000 4.189 0.000
0.000 0.000 3.999
Ni B Pt Au
1 1 2 1
Cartesian
0.000 0.000 0.000
0.000 0.000 1.999
0.000 2.095 1.999
2.095 0.000 1.999
2.095 2.095 0.000
```

Record 10
Crystalline NiBRh2Au at its relaxed geometry, computed with PBE-GGA.

Computed properties:
formation energy from the elements	0.13	eV/f.u.
space group	No. 123

Geometry as POSCAR:
```
NiBRh2Au
1.0
4.123 0.000 0.000
0.000 4.123 0.000
0.000 0.000 3.937
Ni B Rh Au
1 1 2 1
Cartesian
0.000 0.000 0.000
0.000 0.000 1.968
0.000 2.062 1.968
2.062 0.000 1.968
2.062 2.062 0.000
```

Record 11
Crystalline NiB2SbAu at its relaxed geometry, computed with PBE-GGA.

Computed properties:
ΔE_f (raw)	0.812	eV/atom
space group	No. 123

Geometry as POSCAR:
```
NiB2SbAu
1.0
3.904 0.000 0.000
0.000 3.904 0.000
0.000 0.000 5.170
Ni B Sb Au
1 2 1 1
Cartesian
0.000 0.000 0.000
0.000 1.952 0.000
1.952 0.000 0.000
1.952 1.952 2.585
0.000 0.000 2.585
```

Record 12
Crystalline ScNi2BAu at its relaxed geometry, computed with PBE-GGA.

Computed properties:
formation energy from the elements	7.57	eV/f.u.
space group	No. 123

Geometry as POSCAR:
```
ScNi2BAu
1.0
4.654 0.000 0.000
0.000 4.654 0.000
0.000 0.000 4.989
Sc Ni B Au
1 2 1 1
Cartesian
0.000 0.000 0.000
0.000 2.327 2.494
2.327 0.000 2.494
2.327 2.327 0.000
0.000 0.000 2.494
```